# Mn2CuCl2, single point on PBEsol structure, DFT meta-GGA SCAN
data_Mn2CuCl2
_space_group_name_H-M_alt 'P 1'
_space_group_IT_number 1
_cell_length_a 4.1050
_cell_length_b 4.1050
_cell_length_c 6.2325
_cell_angle_alpha 109.23
_cell_angle_beta 109.23
_cell_angle_gamma 90.00
loop_
_space_group_symop_operation_xyz
'x,y,z'
loop_
_atom_site_label
_atom_site_type_symbol
_atom_site_fract_x
_atom_site_fract_y
_atom_site_fract_z
Mn1 Mn 0.3818 0.3818 0.7636
Mn2 Mn 0.6182 0.6182 0.2364
Cl1 Cl 0.7500 0.2500 0.5000
Cl2 Cl 0.2500 0.7500 0.5000
Cu1 Cu 0.0000 0.0000 0.0000
# Total magnetic moment: 9.03 μB per cell
# D(E_F): 0.246 states/eV/atom
# E_form (uncorrected): -0.16 eV/atom
# Total DFT energy (no corrections): -13.6944 eV per atom

# MgAg2, single point on PBEsol structure, DFT meta-GGA SCAN
data_MgAg2
_space_group_name_H-M_alt 'P 1'
_space_group_IT_number 1
_cell_length_a 3.3339
_cell_length_b 3.3339
_cell_length_c 5.2147
_cell_angle_alpha 108.64
_cell_angle_beta 108.64
_cell_angle_gamma 90.00
loop_
_space_group_symop_operation_xyz
'x,y,z'
loop_
_atom_site_label
_atom_site_type_symbol
_atom_site_fract_x
_atom_site_fract_y
_atom_site_fract_z
Mg1 Mg 0.0000 0.0000 0.0000
Ag1 Ag 0.6652 0.6652 0.3303
Ag2 Ag 0.3348 0.3348 0.6697
# Total magnetic moment: 0.00 μB per cell
# D(E_F): 0.296 states/eV/atom
# Energy relative to the elements: -0.18 eV per atom
# Total DFT energy (no corrections): -22.7512 eV per atom
# Offset from the most stable computed form: 4 meV per atom

# Mg2TcAu, single point on PBEsol structure, DFT meta-GGA SCAN
data_Mg2TcAu
_space_group_name_H-M_alt 'P 1'
_space_group_IT_number 1
_cell_length_a 2.7832
_cell_length_b 2.7832
_cell_length_c 8.3974
_cell_angle_alpha 90.00
_cell_angle_beta 90.00
_cell_angle_gamma 90.00
loop_
_space_group_symop_operation_xyz
'x,y,z'
loop_
_atom_site_label
_atom_site_type_symbol
_atom_site_fract_x
_atom_site_fract_y
_atom_site_fract_z
Au1 Au 0.5000 0.5000 0.5000
Mg1 Mg 0.0000 0.0000 0.7519
Mg2 Mg 0.0000 0.0000 0.2481
Tc1 Tc 0.5000 0.5000 0.0000
# Total magnetic moment: 0.22 μB per cell
# D(E_F): 0.463 states/eV/atom
# Energy relative to the elements: -0.16 eV per atom
# Total DFT energy (no corrections): -28.6976 eV per atom

# Rb3TaCl, single point on PBEsol structure, DFT meta-GGA SCAN
data_Rb3TaCl
_space_group_name_H-M_alt 'P 1'
_space_group_IT_number 1
_cell_length_a 6.1501
_cell_length_b 6.1501
_cell_length_c 6.1501
_cell_angle_alpha 90.00
_cell_angle_beta 90.00
_cell_angle_gamma 90.00
loop_
_space_group_symop_operation_xyz
'x,y,z'
loop_
_atom_site_label
_atom_site_type_symbol
_atom_site_fract_x
_atom_site_fract_y
_atom_site_fract_z
Rb1 Rb 0.5000 0.0000 0.0000
Rb2 Rb 0.0000 0.0000 0.5000
Rb3 Rb 0.0000 0.5000 0.0000
Ta1 Ta 0.5000 0.5000 0.5000
Cl1 Cl 0.0000 0.0000 0.0000
# Total magnetic moment: 5.00 μB per cell
# D(E_F): 1.820 states/eV/atom
# E_form (uncorrected): 0.37 eV/atom
# Total DFT energy (no corrections): -26.9848 eV per atom

# LiNdTi2O6, single point on PBEsol structure, DFT meta-GGA SCAN
data_LiNdTi2O6
_space_group_name_H-M_alt 'P 1'
_space_group_IT_number 1
_cell_length_a 5.3292
_cell_length_b 5.3292
_cell_length_c 7.8377
_cell_angle_alpha 90.00
_cell_angle_beta 90.00
_cell_angle_gamma 90.00
loop_
_space_group_symop_operation_xyz
'x,y,z'
loop_
_atom_site_label
_atom_site_type_symbol
_atom_site_fract_x
_atom_site_fract_y
_atom_site_fract_z
O1 O 0.1946 0.3054 0.2594
O2 O 0.5000 0.5000 0.5000
O3 O 0.1946 0.6946 0.7406
O4 O 0.0000 0.0000 0.0000
O5 O 0.3054 0.1946 0.7406
O6 O 0.6946 0.8054 0.7406
O7 O 0.5000 0.5000 0.0000
O8 O 0.3054 0.8054 0.2594
O9 O 0.6946 0.1946 0.2594
O10 O 0.8054 0.3054 0.7406
O11 O 0.8054 0.6946 0.2594
O12 O 0.0000 0.0000 0.5000
Nd1 Nd 0.5000 0.0000 0.5000
Nd2 Nd 0.0000 0.5000 0.5000
Ti1 Ti 0.0000 0.0000 0.7632
Ti2 Ti 0.5000 0.5000 0.2368
Ti3 Ti 0.0000 0.0000 0.2368
Ti4 Ti 0.5000 0.5000 0.7632
Li1 Li 0.5000 0.0000 0.0000
Li2 Li 0.0000 0.5000 0.0000
# Total magnetic moment: 0.00 μB per cell
# D(E_F): 0.000 states/eV/atom
# E_form (uncorrected): -3.29 eV/atom
# Total DFT energy (no corrections): -14.8299 eV per atom

# LiSeCl2, single point on PBEsol structure, DFT meta-GGA SCAN
data_LiSeCl2
_space_group_name_H-M_alt 'P 1'
_space_group_IT_number 1
_cell_length_a 4.8922
_cell_length_b 4.8922
_cell_length_c 4.8922
_cell_angle_alpha 60.00
_cell_angle_beta 60.00
_cell_angle_gamma 60.00
loop_
_space_group_symop_operation_xyz
'x,y,z'
loop_
_atom_site_label
_atom_site_type_symbol
_atom_site_fract_x
_atom_site_fract_y
_atom_site_fract_z
Se1 Se 0.2500 0.2500 0.2500
Cl1 Cl 0.0000 0.0000 0.0000
Cl2 Cl 0.7500 0.7500 0.7500
Li1 Li 0.5000 0.5000 0.5000
# Total magnetic moment: 3.02 μB per cell
# D(E_F): 0.438 states/eV/atom
# E_form (uncorrected): -0.14 eV/atom
# Total DFT energy (no corrections): -9.7417 eV per atom
# Offset from the most stable computed form: 509 meV per atom